Record 1
Below is a PBEsol-optimized structure of AlBr, with properties calculated at the meta-GGA SCAN level.

Output
For the magnetization, the calculation gives 0.00 μB/cell. The calculation puts the total energy at -54.36 eV for the cell shown. The formation energy without anion corrections comes out at 17 meV/atom.

Cell: 5.206 3.698 5.204 Å, 90.00 90.00 90.00°
Atoms (fractional coordinates):
1 Al 0.250 0.000 0.236
2 Al 0.750 0.000 0.764
3 Br 0.250 0.500 0.735
4 Br 0.750 0.500 0.265

---

Record 2
Below is a PBEsol-optimized structure of AlBr, with properties calculated at the meta-GGA SCAN level.

Output
For the magnetization, the calculation gives 0.00 μB/cell. The calculation puts the total energy at -26.98 eV for the cell shown. The formation energy without anion corrections comes out at 116 meV/atom.

Cell: 4.901 4.901 4.901 Å, 60.00 60.00 60.00°
Atoms (fractional coordinates):
1 Al 0.000 0.000 0.000
2 Br 0.250 0.250 0.250

---

Record 3
Below is a PBEsol-optimized structure of AlBr, with properties calculated at the meta-GGA SCAN level.

Output
For the magnetization, the calculation gives 0.00 μB/cell. The calculation puts the total energy at -55.74 eV for the cell shown. The formation energy without anion corrections comes out at -329 meV/atom.

Cell: 4.855 4.044 5.945 Å, 90.00 113.30 90.00°
Atoms (fractional coordinates):
1 Al 0.195 0.250 0.068
2 Al 0.805 0.750 0.932
3 Br 0.365 0.250 0.717
4 Br 0.635 0.750 0.283

---

Record 4
Below is a PBEsol-optimized structure of AlBr, with properties calculated at the meta-GGA SCAN level.

Output
For the magnetization, the calculation gives 0.00 μB/cell. The calculation puts the total energy at -54.45 eV for the cell shown. The formation energy without anion corrections comes out at -8 meV/atom.

Cell: 3.523 3.523 8.685 Å, 90.00 90.00 120.00°
Atoms (fractional coordinates):
1 Al 0.333 0.667 0.250
2 Al 0.667 0.333 0.750
3 Br 0.000 0.000 0.000
4 Br 0.000 0.000 0.500

---

Record 5
Below is a PBEsol-optimized structure of AlBr3, with properties calculated at the meta-GGA SCAN level.

Output
For the magnetization, the calculation gives 0.02 μB/cell. The calculation puts the total energy at -282.66 eV for the cell shown. The formation energy without anion corrections comes out at -1134 meV/atom.

Cell: 6.674 11.797 8.589 Å, 90.00 90.00 90.00°
Atoms (fractional coordinates):
1 Al 0.162 0.250 0.171
2 Al 0.338 0.750 0.671
3 Al 0.662 0.250 0.329
4 Al 0.838 0.750 0.829
5 Br 0.113 0.608 0.801
6 Br 0.113 0.892 0.801
7 Br 0.244 0.750 0.416
8 Br 0.256 0.250 0.916
9 Br 0.387 0.108 0.301
10 Br 0.387 0.392 0.301
11 Br 0.613 0.608 0.699
12 Br 0.613 0.892 0.699
13 Br 0.744 0.750 0.084
14 Br 0.756 0.250 0.584
15 Br 0.887 0.108 0.199
16 Br 0.887 0.392 0.199

---

Record 6
Below is a PBEsol-optimized structure of AlBr2, with properties calculated at the meta-GGA SCAN level.

Output
For the magnetization, the calculation gives 0.00 μB/cell. The calculation puts the total energy at -99.11 eV for the cell shown. The formation energy without anion corrections comes out at -961 meV/atom.

Cell: 6.961 6.961 8.448 Å, 108.76 108.76 28.63°
Atoms (fractional coordinates):
1 Al 0.004 0.004 0.153
2 Al 0.996 0.996 0.847
3 Br 0.362 0.362 0.693
4 Br 0.376 0.376 0.185
5 Br 0.624 0.624 0.815
6 Br 0.638 0.638 0.307

---

Record 7
Below is a PBEsol-optimized structure of AlBr3, with properties calculated at the meta-GGA SCAN level.

Output
For the magnetization, the calculation gives 0.00 μB/cell. The calculation puts the total energy at -70.38 eV for the cell shown. The formation energy without anion corrections comes out at -1062 meV/atom.

Cell: 7.140 7.140 3.572 Å, 90.00 90.00 138.44°
Atoms (fractional coordinates):
1 Al 0.000 0.000 0.000
2 Br 0.130 0.870 0.500
3 Br 0.500 0.500 0.000
4 Br 0.870 0.130 0.500

---

Record 8
Below is a PBEsol-optimized structure of AlBr3, with properties calculated at the meta-GGA SCAN level.

Output
For the magnetization, the calculation gives 0.00 μB/cell. The calculation puts the total energy at -283.62 eV for the cell shown. The formation energy without anion corrections comes out at -1194 meV/atom.

Cell: 7.231 7.326 10.474 Å, 90.00 95.17 90.00°
Atoms (fractional coordinates):
1 Al 0.206 0.091 0.046
2 Al 0.206 0.409 0.546
3 Al 0.794 0.591 0.454
4 Al 0.794 0.909 0.954
5 Br 0.086 0.565 0.354
6 Br 0.086 0.935 0.854
7 Br 0.253 0.111 0.510
8 Br 0.253 0.389 0.010
9 Br 0.416 0.580 0.665
10 Br 0.416 0.920 0.165
11 Br 0.584 0.080 0.835
12 Br 0.584 0.420 0.335
13 Br 0.747 0.611 0.990
14 Br 0.747 0.889 0.490
15 Br 0.914 0.065 0.146
16 Br 0.914 0.435 0.646

---

Record 9
Below is a PBEsol-optimized structure of AlC2Br, with properties calculated at the meta-GGA SCAN level.

Output
For the magnetization, the calculation gives 0.00 μB/cell. The calculation puts the total energy at -81.11 eV for the cell shown. The formation energy without anion corrections comes out at 1714 meV/atom.

Cell: 6.085 6.085 6.085 Å, 133.50 133.50 67.87°
Atoms (fractional coordinates):
1 Al 0.000 0.000 0.000
2 Al 0.750 0.250 0.500
3 C 0.078 0.625 0.953
4 C 0.375 0.328 0.453
5 C 0.672 0.125 0.047
6 C 0.875 0.922 0.547
7 Br 0.250 0.750 0.500
8 Br 0.500 0.500 0.000

---

Record 10
Below is a PBEsol-optimized structure of AlCBr3, with properties calculated at the meta-GGA SCAN level.

Output
For the magnetization, the calculation gives 0.00 μB/cell. The calculation puts the total energy at -71.61 eV for the cell shown. The formation energy without anion corrections comes out at 924 meV/atom.

Cell: 4.720 4.720 4.720 Å, 90.00 90.00 90.00°
Atoms (fractional coordinates):
1 Al 0.000 0.000 0.000
2 C 0.500 0.500 0.500
3 Br 0.000 0.500 0.500
4 Br 0.500 0.000 0.500
5 Br 0.500 0.500 0.000

---

Record 11
Below is a PBEsol-optimized structure of CaAlC2Br, with properties calculated at the meta-GGA SCAN level.

Output
For the magnetization, the calculation gives 5.77 μB/cell. The calculation puts the total energy at -47.97 eV for the cell shown. The formation energy without anion corrections comes out at 1821 meV/atom.

Cell: 4.761 4.761 5.586 Å, 90.00 90.00 90.00°
Atoms (fractional coordinates):
1 Ca 0.000 0.000 0.000
2 Al 0.500 0.500 0.500
3 C 0.000 0.500 0.000
4 C 0.500 0.000 0.000
5 Br 0.000 0.000 0.500

---

Record 12
Below is a PBEsol-optimized structure of RbAlCBr2, with properties calculated at the meta-GGA SCAN level.

Output
For the magnetization, the calculation gives 0.00 μB/cell. The calculation puts the total energy at -77.74 eV for the cell shown. The formation energy without anion corrections comes out at -45 meV/atom.

Cell: 5.762 5.762 3.696 Å, 90.00 90.00 90.00°
Atoms (fractional coordinates):
1 Rb 0.000 0.000 0.000
2 Al 0.500 0.500 0.000
3 C 0.500 0.500 0.500
4 Br 0.000 0.500 0.500
5 Br 0.500 0.000 0.500

---

Record 13
Below is a PBEsol-optimized structure of TiAlCBr2, with properties calculated at the meta-GGA SCAN level.

Output
For the magnetization, the calculation gives 4.77 μB/cell. The calculation puts the total energy at -65.34 eV for the cell shown. The formation energy without anion corrections comes out at 1492 meV/atom.

Cell: 4.896 4.896 5.449 Å, 90.00 90.00 90.00°
Atoms (fractional coordinates):
1 Ti 0.000 0.000 0.000
2 Al 0.000 0.000 0.500
3 C 0.500 0.500 0.000
4 Br 0.000 0.500 0.500
5 Br 0.500 0.000 0.500

---

Taking the records one at a time from the top gives D(E_F) values of 0.021, 0.000, 0.084, 0.213, 0.000, 0.000, 0.000, 0.000, 0.311, 0.456, 0.149, 0.281, 0.669 states/eV/atom.